Below is a geometry-optimized La2MnCl structure, with properties calculated at the GGA-PBE level.

Cell: 6.904 6.904 6.904 Å, 145.12 145.12 50.15°
Site moments in Bohr magnetons follow the coordinates.
Positions (direct):
Cl: 0.750 0.250 0.500  0.01
La: 0.000 0.000 0.000  -0.30
La: 0.250 0.750 0.500  -0.19
Mn: 0.500 0.500 0.000  3.27

The calculated total energy is -5.486 eV/atom. The raw formation energy is -0.27 eV/atom. The space group is I-4m2, No. 119. The calculation puts the energy above the most stable polymorph in this dataset at 0.309 eV per atom.